La6Nd2In: optimized geometry, PBE-GGA.

## Properties
ρ   6.59 g/cm³
Energy relative to the elements   -0.08 eV per atom
Electronic total energy   -170.056 eV per cell
Polymorph energy (0 for the lowest one)   0.00 eV/f.u.

a b c (Å): 21.3331 9.4078 6.5282
angles (deg): 90.00 107.80 90.00
Space group C2/c (No. 15)
Symmetry-distinct sites (fractional):
1 La 0.0768 0.0718 0.2172 (multiplicity 8)
2 La 0.0772 0.4265 0.4333 (multiplicity 8)
3 La 0.1673 0.2506 0.9170 (multiplicity 8)
4 Nd 0.2495 0.0761 0.5891 (multiplicity 8)
5 In 0.0000 0.2512 0.7500 (multiplicity 4)